{
  "formula": "AlBMo",
  "functional": "PBE",
  "state": "optimized geometry",
  "rho_g_cm3": 5.27,
  "dft_energy_ev_per_atom": -5.9003,
  "cell": [[0.0000, 2.7624, 2.7624], [2.7624, 0.0000, 2.7624], [2.7624, 2.7624, 0.0000]],
  "species": ["Al", "B", "Mo"],
  "frac_coords": [[0.0000, 0.0000, 0.0000], [0.7500, 0.7500, 0.7500], [0.2500, 0.2500, 0.2500]]
}

---

{
  "formula": "Pm2Sm2O5",
  "functional": "PBE",
  "state": "optimized geometry",
  "rho_g_cm3": 7.40,
  "dft_energy_ev_per_atom": -7.3457,
  "cell": [[4.4988, 0.0000, 0.0000], [0.0000, 4.4988, 0.0000], [0.0000, 0.0000, 7.4361]],
  "species": ["Pm", "Pm", "Sm", "Sm", "O", "O", "O", "O", "O"],
  "frac_coords": [[0.0000, 0.0000, 0.0000], [0.0000, 0.0000, 0.5000], [0.5000, 0.5000, 0.2174], [0.5000, 0.5000, 0.7826], [0.0000, 0.5000, 0.2114], [0.0000, 0.5000, 0.7886], [0.5000, 0.0000, 0.2114], [0.5000, 0.0000, 0.7886], [0.5000, 0.5000, 0.5000]]
}

---

Please write out number 2 again, unchanged.
{
  "formula": "Pm2Sm2O5",
  "functional": "PBE",
  "state": "optimized geometry",
  "rho_g_cm3": 7.40,
  "dft_energy_ev_per_atom": -7.3457,
  "cell": [[4.4988, 0.0000, 0.0000], [0.0000, 4.4988, 0.0000], [0.0000, 0.0000, 7.4361]],
  "species": ["Pm", "Pm", "Sm", "Sm", "O", "O", "O", "O", "O"],
  "frac_coords": [[0.0000, 0.0000, 0.0000], [0.0000, 0.0000, 0.5000], [0.5000, 0.5000, 0.2174], [0.5000, 0.5000, 0.7826], [0.0000, 0.5000, 0.2114], [0.0000, 0.5000, 0.7886], [0.5000, 0.0000, 0.2114], [0.5000, 0.0000, 0.7886], [0.5000, 0.5000, 0.5000]]
}